w) Compound: ErTmAgOs
Source: the Alexandria database
Functional: GGA-PBE
Structure: relaxed

Summary:
Space-group type: No. 99

a = 3.3730 Å, b = 3.3730 Å, c = 7.5170 Å
α = 90.00°, β = 90.00°, γ = 90.00°
Element x y z (fractional)
Er  0.0000  0.0000  0.0000
Tm  0.0000  0.0000  0.5604
Ag  0.5000  0.5000  0.2827
Os  0.5000  0.5000  0.7788

---

x) Compound: ErTmAgOs
Source: the Alexandria database
Functional: GGA-PBE
Structure: relaxed

Summary:
Space-group type: No. 216

a = 6.9211 Å, b = 6.9211 Å, c = 6.9211 Å
α = 90.00°, β = 90.00°, γ = 90.00°
Element x y z (fractional)
Er  0.0000  0.0000  0.0000
Er  0.0000  0.5000  0.5000
Er  0.5000  0.0000  0.5000
Er  0.5000  0.5000  0.0000
Tm  0.0000  0.0000  0.5000
Tm  0.0000  0.5000  0.0000
Tm  0.5000  0.0000  0.0000
Tm  0.5000  0.5000  0.5000
Ag  0.2500  0.2500  0.2500
Ag  0.2500  0.7500  0.7500
Ag  0.7500  0.2500  0.7500
Ag  0.7500  0.7500  0.2500
Os  0.2500  0.2500  0.7500
Os  0.2500  0.7500  0.2500
Os  0.7500  0.2500  0.2500
Os  0.7500  0.7500  0.7500

---

The computed energies, referenced to the most stable structure and given in meV/atom, are w) 0; x) 44.

---

w) Compound: Er8Ag2Pb
Source: the Alexandria database
Functional: GGA-PBE
Structure: relaxed

Summary:
Space-group type: No. 12

a = 8.2307 Å, b = 8.2307 Å, c = 5.4492 Å
α = 99.59°, β = 99.59°, γ = 115.80°
Element x y z (fractional)
Er  0.0901  0.3292  0.6028
Er  0.2337  0.7663  0.0000
Er  0.3292  0.0901  0.6028
Er  0.3984  0.3984  0.1974
Er  0.6016  0.6016  0.8026
Er  0.6708  0.9099  0.3972
Er  0.7663  0.2337  0.0000
Er  0.9099  0.6708  0.3972
Ag  0.3041  0.6959  0.5000
Ag  0.6959  0.3041  0.5000
Pb  0.0000  0.0000  0.0000

---

x) Compound: Er8Ag2Pb
Source: the Alexandria database
Functional: GGA-PBE
Structure: relaxed

Summary:
Space-group type: No. 12

a = 8.5467 Å, b = 8.5467 Å, c = 8.1816 Å
α = 116.20°, β = 116.20°, γ = 34.92°
Element x y z (fractional)
Er  0.0621  0.0621  0.2277
Er  0.1544  0.1544  0.7155
Er  0.3133  0.3133  0.5338
Er  0.3988  0.3988  0.0335
Er  0.6012  0.6012  0.9665
Er  0.6867  0.6867  0.4662
Er  0.8456  0.8456  0.2845
Er  0.9379  0.9379  0.7723
Ag  0.2113  0.2113  0.1203
Ag  0.7887  0.7887  0.8797
Pb  0.5000  0.5000  0.5000

---

The computed energies, referenced to the most stable structure and given in meV/atom, are w) 107; x) 0.